Arrangement i

VASP calculation (PBE) on an optimized crystal structure of MoAsIr2.

abc: 2.836 3.678 5.905
angles: 90.00 90.00 90.00
Atoms (fractional coordinates):
Ir: 0.500 0.500 0.260
Ir: 0.000 0.000 0.985
As: 0.500 0.500 0.778
Mo: 0.000 0.000 0.477

Values from the calculation:
The size of the total moment is 0.0 μB/f.u. The calculation puts the density of states at the Fermi level at 3.3 states/eV/cell. As for the space group: Pmm2, No. 25.

---

Arrangement ii

VASP calculation (PBE) on an optimized crystal structure of MoAsIr2.

abc: 5.636 5.636 6.773
angles: 65.41 65.41 90.00
Atoms (fractional coordinates):
Ir: 0.875 0.868 0.750
Ir: 0.132 0.625 0.250
Ir: 0.375 0.382 0.750
Ir: 0.618 0.125 0.250
As: 0.250 0.750 0.500
As: 0.500 0.500 0.000
Mo: 0.750 0.250 0.500
Mo: 0.000 0.000 0.000

Values from the calculation:
The size of the total moment is 0.0 μB/f.u. The calculation puts the density of states at the Fermi level at 9.5 states/eV/cell. As for the space group: I-42d, No. 122.

---

Arrangement iii

VASP calculation (PBE) on an optimized crystal structure of MoAsIr2.

abc: 8.706 8.706 8.706
angles: 18.90 18.90 18.90
Atoms (fractional coordinates):
Mo: 0.501 0.501 0.501
Ir: 0.752 0.752 0.752
Ir: 0.995 0.995 0.995
As: 0.252 0.252 0.252

Values from the calculation:
The size of the total moment is 0.0 μB/f.u. The calculation puts the density of states at the Fermi level at 2.7 states/eV/cell. As for the space group: R3m, No. 160.

---

Of them, the most stable is arrangement iii and the least stable is arrangement ii.

---

Arrangement i

VASP calculation (PBE) on an optimized crystal structure of MoAsIr2.

abc: 4.709 4.709 4.709
angles: 129.63 129.63 74.01
Atoms (fractional coordinates):
As: 0.750 0.250 0.500
Ir: 0.000 0.000 0.000
Ir: 0.250 0.750 0.500
Mo: 0.500 0.500 0.000

Values from the calculation:
The size of the total moment is 0.0 μB/f.u. The calculation puts the density of states at the Fermi level at 3.5 states/eV/cell. As for the space group: I-4m2, No. 119.

---

Arrangement ii

VASP calculation (PBE) on an optimized crystal structure of MoAsIr2.

abc: 3.975 2.853 5.534
angles: 75.00 90.00 90.00
Atoms (fractional coordinates):
Ir: 0.000 0.814 0.996
Ir: 0.500 0.180 0.267
As: 0.500 0.947 0.732
Mo: 0.000 0.559 0.506

Values from the calculation:
The size of the total moment is 0.0 μB/f.u. The calculation puts the density of states at the Fermi level at 3.0 states/eV/cell. As for the space group: Amm2, No. 38.

---

Arrangement iii

VASP calculation (PBE) on an optimized crystal structure of MoAsIr2.

abc: 4.208 2.833 5.281
angles: 74.07 90.00 90.00
Atoms (fractional coordinates):
Ir: 0.000 0.625 0.505
Ir: 0.000 0.875 0.995
Mo: 0.500 0.250 0.250
As: 0.500 0.750 0.750

Values from the calculation:
The size of the total moment is 0.0 μB/f.u. The calculation puts the density of states at the Fermi level at 2.3 states/eV/cell. As for the space group: P2/m, No. 10.

---

Arrangement iv

VASP calculation (PBE) on an optimized crystal structure of MoAsIr2.

abc: 2.853 4.618 4.604
angles: 90.00 90.00 90.00
Atoms (fractional coordinates):
Ir: 0.000 0.000 0.000
Ir: 0.500 0.500 0.000
Mo: 0.500 0.000 0.500
As: 0.000 0.500 0.500

Values from the calculation:
The size of the total moment is 0.0 μB/f.u. The calculation puts the density of states at the Fermi level at 2.0 states/eV/cell. As for the space group: Pmmm, No. 47.

---

Of them, the most stable is arrangement ii and the least stable is arrangement i.

---

Arrangement i

VASP calculation (PBE) on an optimized crystal structure of MoAsIr2.

abc: 5.292 5.292 5.292
angles: 147.78 130.25 60.52
Atoms (fractional coordinates):
As: 0.250 0.750 0.500
Mo: 0.750 0.250 0.500
Ir: 0.023 0.023 0.000
Ir: 0.477 0.477 0.000

Values from the calculation:
The size of the total moment is 0.0 μB/f.u. The calculation puts the density of states at the Fermi level at 2.9 states/eV/cell. As for the space group: Immm, No. 71.

---

Arrangement ii

VASP calculation (PBE) on an optimized crystal structure of MoAsIr2.

abc: 2.926 2.926 7.041
angles: 90.00 90.00 90.00
Atoms (fractional coordinates):
Ir: 0.500 0.500 0.268
Ir: 0.000 0.000 0.970
As: 0.500 0.500 0.757
Mo: 0.000 0.000 0.505

Values from the calculation:
The size of the total moment is 0.0 μB/f.u. The calculation puts the density of states at the Fermi level at 3.1 states/eV/cell. As for the space group: P4mm, No. 99.

---

Arrangement iii

VASP calculation (PBE) on an optimized crystal structure of MoAsIr2.

abc: 4.466 4.466 4.466
angles: 60.00 60.00 60.00
Atoms (fractional coordinates):
As: 0.000 0.000 0.000
Ir: 0.250 0.250 0.250
Ir: 0.750 0.750 0.750
Mo: 0.500 0.500 0.500

Values from the calculation:
The size of the total moment is 0.0 μB/f.u. The calculation puts the density of states at the Fermi level at 4.9 states/eV/cell. As for the space group: Fm-3m, No. 225.

---

Of them, the most stable is arrangement i and the least stable is arrangement iii.

---

Arrangement i

VASP calculation (PBE) on an optimized crystal structure of MoAsIr2.

abc: 4.789 4.789 2.840
angles: 90.00 90.00 110.80
Atoms (fractional coordinates):
As: 0.000 0.500 0.500
Ir: 0.000 0.000 0.000
Ir: 0.500 0.500 0.000
Mo: 0.500 0.000 0.500

Values from the calculation:
The size of the total moment is 0.0 μB/f.u. The calculation puts the density of states at the Fermi level at 3.4 states/eV/cell. As for the space group: Cmmm, No. 65.

---

Arrangement ii

VASP calculation (PBE) on an optimized crystal structure of MoAsIr2.

abc: 2.865 2.865 7.455
angles: 90.00 90.00 90.00
Atoms (fractional coordinates):
As: 0.500 0.500 0.750
Ir: 0.000 0.000 0.003
Ir: 0.000 0.000 0.497
Mo: 0.500 0.500 0.250

Values from the calculation:
The size of the total moment is 0.0 μB/f.u. The calculation puts the density of states at the Fermi level at 2.5 states/eV/cell. As for the space group: P4/mmm, No. 123.

---

Of them, the most stable is arrangement ii and the least stable is arrangement i.

---

Arrangement i

VASP calculation (PBE) on an optimized crystal structure of Mo2AsIr.

abc: 4.977 4.977 4.977
angles: 134.90 134.90 65.69
Atoms (fractional coordinates):
Mo: 0.500 0.500 0.000
Mo: 0.000 0.000 0.000
Ir: 0.750 0.250 0.500
As: 0.250 0.750 0.500

Values from the calculation:
The size of the total moment is 0.0 μB/f.u. The calculation puts the density of states at the Fermi level at 3.4 states/eV/cell. As for the space group: I4/mmm, No. 139.

---

Arrangement ii

VASP calculation (PBE) on an optimized crystal structure of Mo2AsIr.

abc: 9.031 9.031 9.031
angles: 18.19 18.19 18.19
Atoms (fractional coordinates):
As: 0.500 0.500 0.500
Ir: 0.750 0.750 0.750
Mo: 0.003 0.003 0.003
Mo: 0.247 0.247 0.247

Values from the calculation:
The size of the total moment is 0.0 μB/f.u. The calculation puts the density of states at the Fermi level at 4.8 states/eV/cell. As for the space group: R3m, No. 160.

---

Of them, the most stable is arrangement i and the least stable is arrangement ii.

---

Arrangement i

VASP calculation (PBE) on an optimized crystal structure of Mo2AsIr.

abc: 4.071 2.813 5.611
angles: 72.65 90.00 90.00
Atoms (fractional coordinates):
Mo: 0.000 0.072 0.004
Mo: 0.000 0.428 0.496
Ir: 0.500 0.750 0.750
As: 0.500 0.250 0.250

Values from the calculation:
The size of the total moment is 0.0 μB/f.u. The calculation puts the density of states at the Fermi level at 2.4 states/eV/cell. As for the space group: P2/m, No. 10.

---

Arrangement ii

VASP calculation (PBE) on an optimized crystal structure of Mo2AsIr.

abc: 2.955 2.955 6.902
angles: 90.00 90.00 90.00
Atoms (fractional coordinates):
Mo: 0.000 0.000 0.484
Mo: 0.000 0.000 0.016
As: 0.500 0.500 0.250
Ir: 0.500 0.500 0.750

Values from the calculation:
The size of the total moment is 0.0 μB/f.u. The calculation puts the density of states at the Fermi level at 2.9 states/eV/cell. As for the space group: P4/mmm, No. 123.

---

Of them, the most stable is arrangement ii and the least stable is arrangement i.